Entry 1:
TaSb4Pb: optimized geometry, PBE.

raw formation energy: 0.797 eV/atom
V: 27.21 Å³/atom
DOS at the Fermi energy: 0.728 states/eV/atom

Lattice parameters (Å, degrees): 6.1348 6.1348 6.1348 60.00 60.00 60.00
With the nearest neighbours (Å) after each atom.
Atoms (fractional coordinates):
Ta 0.7500 0.7500 0.7500  12 Sb 3.59, 4 Pb 3.76
Sb 0.8725 0.3758 0.3758  6 Sb 3.05-3.09
Sb 0.3758 0.3758 0.8725  6 Sb 3.05-3.09
Sb 0.3758 0.8725 0.3758  6 Sb 3.05-3.09
Sb 0.3758 0.3758 0.3758  6 Sb 3.05-3.09
Pb 0.0000 0.0000 0.0000  12 Sb 3.60, 4 Ta 3.76

=====

Entry 2:
PrZnAu4: optimized geometry, PBE.

energy: -21.44 eV/f.u.
V: 20.80 Å³/atom
DOS at the Fermi energy: 0.782 states/eV/atom

Lattice parameters (Å, degrees): 5.6097 5.6097 5.6097 60.00 60.00 60.00
With the nearest neighbours (Å) after each atom.
Atoms (fractional coordinates):
Pr 0.2500 0.2500 0.2500  12 Au 3.29, 4 Zn 3.44
Zn 0.0000 0.0000 0.0000  12 Au 3.29, 4 Pr 3.44
Au 0.6256 0.6256 0.1232  6 Au 2.79-2.82
Au 0.6256 0.1232 0.6256  6 Au 2.79-2.82
Au 0.6256 0.6256 0.6256  6 Au 2.79-2.82
Au 0.1232 0.6256 0.6256  6 Au 2.79-2.82

=====

Entry 3:
Ac8Pt3RhCl4: optimized geometry, PBE.

raw formation energy: -1.394 eV/atom
V: 33.35 Å³/atom
DOS at the Fermi energy: 0.671 states/eV/atom

Lattice parameters (Å, degrees): 8.8163 9.4257 8.8152 117.92 120.00 90.00
With the nearest neighbours (Å) after each atom.
Atoms (fractional coordinates):
Ac 0.2328 0.7040 0.9717  1 Rh 2.99, 2 Pt 3.03
Ac 0.2328 0.7040 0.4656  1 Rh 2.99, 2 Pt 3.03
Ac 0.2650 0.2955 0.5300  3 Pt 3.02
Ac 0.7389 0.7040 0.9717  1 Rh 2.99, 2 Pt 3.03
Ac 0.2611 0.2960 0.0283  1 Rh 2.99, 2 Pt 3.03
Ac 0.7350 0.7045 0.4700  3 Pt 3.02
Ac 0.7672 0.2960 0.5344  1 Rh 2.99, 2 Pt 3.03
Ac 0.7672 0.2960 0.0283  1 Rh 2.99, 2 Pt 3.03
Pt 0.5000 0.5000 0.0000  6 Ac 3.02-3.03
Pt 0.5000 0.5000 0.5000  6 Ac 3.02-3.03
Pt 0.0000 0.5000 0.5000  6 Ac 3.02-3.03
Rh 0.0000 0.5000 0.0000  6 Ac 2.99
Cl 0.5000 0.0000 0.0000  6 Ac 3.48-3.49
Cl 0.5000 0.0000 0.5000  6 Ac 3.45-3.46
Cl 0.0000 0.0000 0.0000  6 Ac 3.45-3.46
Cl 0.0000 0.0000 0.5000  6 Ac 3.45-3.46

=====

Entry 4:
Sr2Al2Zn: optimized geometry, PBE.

energy: -12.43 eV/f.u.
V: 27.97 Å³/atom
DOS at the Fermi energy: 0.682 states/eV/atom

Lattice parameters (Å, degrees): 7.3006 7.3006 5.2485 90.00 90.00 90.00
With the nearest neighbours (Å) after each atom.
Atoms (fractional coordinates):
Sr 0.1742 0.6742 0.5000  6 Al 3.30-3.46, 1 Sr 3.60
Sr 0.6742 0.8258 0.5000  6 Al 3.30-3.46, 1 Sr 3.60
Sr 0.8258 0.3258 0.5000  6 Al 3.30-3.46, 1 Sr 3.60
Sr 0.3258 0.1742 0.5000  6 Al 3.30-3.46, 1 Sr 3.60
Zn 0.0000 0.0000 0.0000  4 Al 2.85
Zn 0.5000 0.5000 0.0000  4 Al 2.85
Al 0.3681 0.8681 0.0000  1 Al 2.72, 2 Zn 2.85
Al 0.8681 0.6319 0.0000  1 Al 2.72, 2 Zn 2.85
Al 0.6319 0.1319 0.0000  1 Al 2.72, 2 Zn 2.85
Al 0.1319 0.3681 0.0000  1 Al 2.72, 2 Zn 2.85

=====

Q: Which value of DOS at the Fermi energy does entry 2 give?
A: 0.782 states/eV/atom